A plane-wave DFT calculation with PBE-GGA was carried out for a relaxed structure of Mg2Hg2Br.

Cell: 8.2413 8.2413 3.6099 Å, 90.00 90.00 90.00°
Sites, in units of the cell vectors:
Mg: 0.1804 0.3196 0.0000
Mg: 0.3196 0.8196 0.0000
Mg: 0.6804 0.1804 0.0000
Mg: 0.8196 0.6804 0.0000
Hg: 0.1264 0.6264 0.5000
Hg: 0.3736 0.1264 0.5000
Hg: 0.6264 0.8736 0.5000
Hg: 0.8736 0.3736 0.5000
Br: 0.0000 0.0000 0.0000
Br: 0.5000 0.5000 0.0000

Theoretical density = 7175 kg/m3
Energy relative to the elements, uncorrected = -335 meV per atom

=====

A plane-wave DFT calculation with PBE-GGA was carried out for a relaxed structure of MgHgBr2.

Cell: 3.8566 3.8566 10.6860 Å, 99.76 99.76 59.99°
Sites, in units of the cell vectors:
Mg: 0.0000 0.0000 0.0000
Hg: 0.5000 0.5000 0.5000
Br: 0.2881 0.2881 0.8553
Br: 0.7119 0.7119 0.1447

Theoretical density = 4733 kg/m3
Energy relative to the elements, uncorrected = -1092 meV per atom

=====

A plane-wave DFT calculation with PBE-GGA was carried out for a relaxed structure of MgHg2Br.

Cell: 3.8554 4.6387 6.0894 Å, 90.00 90.00 90.00°
Sites, in units of the cell vectors:
Mg: 0.0000 0.0000 0.0000
Hg: 0.0000 0.5000 0.5000
Hg: 0.5000 0.0000 0.5000
Br: 0.5000 0.5000 0.0000

Theoretical density = 7706 kg/m3
Energy relative to the elements, uncorrected = -258 meV per atom

=====

Ordered calculated total energy results: -1.4277, -2.4023, -1.2260; unit eV per atom.
Ordered M_tot results: 0.000, 0.000, 0.000; unit μB per atom.
Ordered relative energy among the computed polymorphs results: 0.000, 0.001, 0.176; unit eV per atom.